# 1
VASP calculation (PBE) on a relaxed CuMo2Pt crystal.

Summary:
As for the energy above the most stable polymorph in this dataset: 98 meV per atom.

Cell lengths 3.924, 3.924, 7.755 Å; angles 90.00, 90.00, 90.00 degrees
Sites, in units of the cell vectors:
Cu 0.000 0.000 0.000
Cu 0.500 0.500 0.500
Mo 0.000 0.000 0.500
Mo 0.000 0.500 0.750
Mo 0.500 0.000 0.250
Mo 0.500 0.500 0.000
Pt 0.000 0.500 0.250
Pt 0.500 0.000 0.750

***

# 2
VASP calculation (PBE) on a relaxed HfMnNiIr crystal.

Summary:
Its electronic total energy is -8.891 eV/atom.

Cell lengths 6.257, 6.257, 6.257 Å; angles 90.00, 90.00, 90.00 degrees
Sites, in units of the cell vectors:
Hf 0.000 0.000 0.000
Hf 0.000 0.500 0.500
Hf 0.500 0.000 0.500
Hf 0.500 0.500 0.000
Mn 0.000 0.000 0.500
Mn 0.000 0.500 0.000
Mn 0.500 0.000 0.000
Mn 0.500 0.500 0.500
Ni 0.250 0.250 0.750
Ni 0.250 0.750 0.250
Ni 0.750 0.250 0.250
Ni 0.750 0.750 0.750
Ir 0.250 0.250 0.250
Ir 0.250 0.750 0.750
Ir 0.750 0.250 0.750
Ir 0.750 0.750 0.250

***

# 3
VASP calculation (PBE) on a relaxed Sm2PdO6 crystal.

Summary:
The raw formation energy is -1.753 eV/atom.

Cell lengths 6.496, 6.496, 6.496 Å; angles 146.14, 130.25, 61.54 degrees
Sites, in units of the cell vectors:
Sm 0.169 0.169 0.000
Sm 0.831 0.831 0.000
Pd 0.500 0.500 0.000
O 0.114 0.350 0.764
O 0.286 0.000 0.286
O 0.414 0.650 0.764
O 0.586 0.350 0.236
O 0.714 0.000 0.714
O 0.886 0.650 0.236